# PBE Tm12AlPb3, optimized geometry
data_Tm12AlPb3
_cell_length_a 4.771
_cell_length_b 4.771
_cell_length_c 19.097
_cell_angle_alpha 90.00
_cell_angle_beta 90.00
_cell_angle_gamma 90.00
_space_group_name_H-M_alt 'P 4/m m m'
_space_group_IT_number 123
_space_group_name_Hall '-P 4 2'
loop_
_atom_site_label
_atom_site_fract_x
_atom_site_fract_y
_atom_site_fract_z
_atom_site_occupancy
Tm1 0.000 0.000 0.000 1
Tm2 0.000 0.000 0.247 1
Tm3 0.000 0.000 0.500 1
Tm4 0.000 0.500 0.119 1
Tm5 0.000 0.500 0.373 1
Al1 0.500 0.500 0.000 1
Pb1 0.500 0.500 0.247 1
Pb2 0.500 0.500 0.500 1
# crystal system = tetragonal
# raw total energy = -4.52 eV/atom
# energy of formation = -232 meV per atom